No. 1
First-principles (PBE-GGA) data for BaCa2Pr after structural relaxation, as listed in Alexandria.

```
4
Lattice="-0.749 3.464 -1.686 -3.549 1.635 0.367 2.522 7.845 10.430" Properties=species:S:1:pos:R:3 pbc="T T T"
Pr 0.000 0.000 0.000
Ca -1.271 9.803 7.001
Ca -0.505 3.141 2.110
Ba -0.888 6.472 4.556
```

- formation energy from the elements (eV per atom) = 0.094

=====

No. 2
First-principles (PBE-GGA) data for Ba2CaPr after structural relaxation, as listed in Alexandria.

```
4
Lattice="-2.457 5.346 -2.782 -6.200 0.082 -1.980 -4.386 3.603 3.185" Properties=species:S:1:pos:R:3 pbc="T T T"
Pr 0.000 0.000 0.000
Ca -6.521 4.516 -0.788
Ba -3.261 2.258 -0.394
Ba -9.782 6.774 -1.183
```

- formation energy from the elements (eV per atom) = 0.161

=====

No. 3
First-principles (PBE-GGA) data for Ba2CaPr after structural relaxation, as listed in Alexandria.

```
4
Lattice="-3.945 0.019 0.039 -2.008 -0.160 -3.393 -2.048 -14.329 -0.409" Properties=species:S:1:pos:R:3 pbc="T T T"
Pr 0.000 0.000 0.000
Ca -4.000 -7.235 -1.881
Ba -2.031 -10.644 -0.592
Ba -5.969 -3.825 -3.171
```

- formation energy from the elements (eV per atom) = 0.274

=====

No. 4
First-principles (PBE-GGA) data for BaCa2Pr after structural relaxation, as listed in Alexandria.

```
4
Lattice="-3.059 0.691 2.372 -2.170 -2.995 1.333 6.055 -1.809 11.596" Properties=species:S:1:pos:R:3 pbc="T T T"
Ba 2.567 -3.344 14.063
Ca 3.975 -1.531 8.832
Ca 0.337 -1.046 3.998
Pr 0.415 -2.057 7.654
```

- formation energy from the elements (eV per atom) = 0.090

=====

No. 5
First-principles (PBE-GGA) data for BaCaPr2 after structural relaxation, as listed in Alexandria.

```
4
Lattice="5.896 0.000 0.000 0.000 5.310 0.000 0.000 0.000 5.310" Properties=species:S:1:pos:R:3 pbc="T T T"
Pr 0.000 0.000 2.655
Pr 0.000 2.655 0.000
Ca 2.948 2.655 2.655
Ba 2.948 0.000 0.000
```

- formation energy from the elements (eV per atom) = 0.173

=====

No. 6
First-principles (PBE-GGA) data for BaCa2Pr after structural relaxation, as listed in Alexandria.

```
4
Lattice="-0.292 4.551 4.335 2.697 -0.834 5.623 5.178 3.237 1.516" Properties=species:S:1:pos:R:3 pbc="T T T"
Pr 3.792 3.477 5.737
Ca 1.896 1.738 2.869
Ca 5.688 5.215 8.606
Ba 0.000 0.000 0.000
```

- formation energy from the elements (eV per atom) = 0.114